{
  "formula": "KPaPt2",
  "functional": "PBE-GGA",
  "state": "relaxed",
  "formation_energy_ev_per_fu": -2.45,
  "n_ef_per_ev_atom": 0.91,
  "volume_a3_per_cell": 102.43,
  "rho_g_cm3": 10.70,
  "crystal_system": "tetragonal",
  "magnetic_moment_mub_per_atom": 0.0000,
  "sg": "No. 123",
  "cell": [[3.541, 0.000, 0.000], [0.000, 3.541, 0.000], [0.000, 0.000, 8.168]],
  "species": ["K", "Pa", "Pt", "Pt"],
  "fractional_positions": [[0.500, 0.500, 0.500], [0.500, 0.500, 0.000], [0.000, 0.000, 0.817], [0.000, 0.000, 0.183]]
}

{
  "formula": "KPaPtS3",
  "functional": "PBE-GGA",
  "state": "relaxed",
  "volume_a3_per_cell": 289.86,
  "rho_g_cm3": 6.43,
  "crystal_system": "orthorhombic",
  "magnetic_moment_mub_per_atom": 0.0088,
  "formation_energy_uncorrected_ev_per_atom": -1.34,
  "sg": "No. 63",
  "cell": [[3.997, 0.000, 0.000], [-1.999, 7.145, 0.000], [0.000, 0.000, 10.149]],
  "species": ["K", "K", "Pa", "Pa", "Pt", "Pt", "S", "S", "S", "S", "S", "S"],
  "fractional_positions": [[0.748, 0.496, 0.750], [0.252, 0.504, 0.250], [0.000, 0.000, 0.500], [0.000, 0.000, 0.000], [0.469, 0.937, 0.750], [0.531, 0.063, 0.250], [0.625, 0.249, 0.449], [0.375, 0.751, 0.551], [0.375, 0.751, 0.949], [0.625, 0.249, 0.051], [0.067, 0.134, 0.750], [0.933, 0.866, 0.250]]
}

{
  "formula": "K2PaPtS4",
  "functional": "PBE-GGA",
  "state": "relaxed",
  "n_ef_per_ev_atom": 0.96,
  "volume_a3_per_cell": 197.37,
  "rho_g_cm3": 5.32,
  "crystal_system": "tetragonal",
  "magnetic_moment_mub_per_atom": 0.1094,
  "formation_energy_uncorrected_ev_per_atom": -0.98,
  "sg": "No. 121",
  "cell": [[-1.438, 0.836, -6.415], [-0.504, -4.983, -3.960], [-6.042, 0.047, -2.063]],
  "species": ["K", "K", "Pa", "Pt", "S", "S", "S", "S"],
  "fractional_positions": [[0.000, 0.500, 0.500], [0.500, 0.500, 0.500], [0.000, 0.000, 0.000], [0.500, 0.000, 0.000], [0.094, 0.344, 0.000], [0.906, 0.000, 0.656], [0.563, 0.000, 0.344], [0.437, 0.656, 0.000]]
}

{
  "formula": "K4Pa3PtSe8",
  "functional": "PBE-GGA",
  "state": "relaxed",
  "n_ef_per_ev_atom": 1.07,
  "volume_a3_per_cell": 467.51,
  "rho_g_cm3": 5.95,
  "crystal_system": "monoclinic",
  "magnetic_moment_mub_per_atom": 0.2387,
  "formation_energy_uncorrected_ev_per_atom": -1.15,
  "sg": "No. 12",
  "cell": [[7.910, 0.000, 0.000], [0.000, 9.262, 0.425], [-3.955, -4.317, 6.183]],
  "species": ["K", "K", "K", "K", "Pa", "Pa", "Pa", "Pt", "Se", "Se", "Se", "Se", "Se", "Se", "Se", "Se"],
  "fractional_positions": [[0.500, 0.000, 0.000], [0.500, 0.000, 0.500], [0.000, 0.000, 0.000], [0.000, 0.000, 0.500], [0.500, 0.500, 0.000], [0.500, 0.500, 0.500], [0.000, 0.500, 0.500], [0.000, 0.500, 0.000], [0.213, 0.689, 0.961], [0.263, 0.731, 0.527], [0.271, 0.290, 0.542], [0.748, 0.689, 0.961], [0.252, 0.311, 0.039], [0.729, 0.710, 0.458], [0.737, 0.269, 0.473], [0.787, 0.311, 0.039]]
}

{
  "formula": "K3Pa3PtSe8",
  "functional": "PBE-GGA",
  "state": "relaxed",
  "n_ef_per_ev_atom": 1.12,
  "volume_a3_per_cell": 459.35,
  "rho_g_cm3": 5.92,
  "crystal_system": "monoclinic",
  "magnetic_moment_mub_per_atom": 0.1848,
  "formation_energy_uncorrected_ev_per_atom": -1.14,
  "sg": "No. 12",
  "cell": [[8.595, 0.000, 0.000], [-4.298, 6.835, 0.121], [0.000, -4.351, 7.742]],
  "species": ["K", "K", "K", "Pa", "Pa", "Pa", "Pt", "Se", "Se", "Se", "Se", "Se", "Se", "Se", "Se"],
  "fractional_positions": [[0.000, 0.000, 0.000], [0.000, 0.500, 0.000], [0.500, 0.500, 0.000], [0.500, 0.000, 0.500], [0.500, 0.500, 0.500], [0.000, 0.500, 0.500], [0.000, 0.000, 0.500], [0.261, 0.522, 0.289], [0.739, 0.478, 0.711], [0.791, 0.582, 0.318], [0.209, 0.418, 0.682], [0.747, 0.043, 0.285], [0.253, 0.957, 0.715], [0.296, 0.043, 0.285], [0.704, 0.957, 0.715]]
}

{
  "formula": "K2PuPaS4",
  "functional": "PBE-GGA",
  "state": "relaxed",
  "n_ef_per_ev_atom": 1.41,
  "volume_a3_per_cell": 213.52,
  "rho_g_cm3": 5.30,
  "crystal_system": "monoclinic",
  "magnetic_moment_mub_per_atom": 0.8756,
  "formation_energy_uncorrected_ev_per_atom": -1.57,
  "sg": "No. 10",
  "cell": [[4.073, 0.000, 0.000], [0.000, 7.081, 0.134], [0.000, -2.469, 7.357]],
  "species": ["K", "K", "Pu", "Pa", "S", "S", "S", "S"],
  "fractional_positions": [[0.500, 0.000, 0.500], [0.000, 0.500, 0.500], [0.000, 0.000, 0.000], [0.500, 0.500, 0.000], [0.500, 0.243, 0.203], [0.500, 0.757, 0.797], [0.000, 0.272, 0.796], [0.000, 0.728, 0.204]]
}

{
  "formula": "K3Pu2PaS6",
  "functional": "PBE-GGA",
  "state": "relaxed",
  "n_ef_per_ev_atom": 1.94,
  "volume_a3_per_cell": 322.40,
  "rho_g_cm3": 5.30,
  "crystal_system": "monoclinic",
  "magnetic_moment_mub_per_atom": 1.0000,
  "formation_energy_uncorrected_ev_per_atom": -1.60,
  "sg": "No. 12",
  "cell": [[7.109, -0.001, 0.000], [-3.554, 6.158, 0.000], [-1.186, -2.053, 7.365]],
  "species": ["K", "K", "K", "Pu", "Pu", "Pa", "S", "S", "S", "S", "S", "S"],
  "fractional_positions": [[0.169, 0.831, 0.500], [0.831, 0.169, 0.500], [0.500, 0.500, 0.500], [0.333, 0.667, 0.000], [0.667, 0.333, 0.000], [0.000, 0.000, 0.000], [0.933, 0.609, 0.798], [0.744, 0.744, 0.202], [0.067, 0.391, 0.202], [0.609, 0.933, 0.798], [0.256, 0.256, 0.798], [0.391, 0.067, 0.202]]
}

{
  "formula": "KPu2PaSe5",
  "functional": "PBE-GGA",
  "state": "relaxed",
  "n_ef_per_ev_atom": 2.51,
  "volume_a3_per_cell": 285.74,
  "rho_g_cm3": 6.70,
  "crystal_system": "orthorhombic",
  "magnetic_moment_mub_per_atom": 1.3346,
  "formation_energy_uncorrected_ev_per_atom": -1.33,
  "sg": "No. 71",
  "cell": [[5.312, 0.000, 0.000], [0.000, 7.469, 0.000], [-2.656, -3.734, 7.203]],
  "species": ["K", "Pu", "Pu", "Pa", "Se", "Se", "Se", "Se", "Se"],
  "fractional_positions": [[0.000, 0.500, 0.000], [0.204, 0.204, 0.407], [0.796, 0.796, 0.593], [0.500, 0.000, 0.000], [0.650, 0.911, 0.300], [0.350, 0.089, 0.700], [0.350, 0.611, 0.700], [0.650, 0.389, 0.300], [0.000, 0.000, 0.000]]
}